The following is a DFT calculation (PBE) of an optimized crystal structure of BaLaInRu2.

Its total moment is 0.00 μB per cell. For the formation energy, the calculation gives 1017 meV/atom.

The structure belongs to space group P4/mmm (No. 123); the cell edges are 4.9117, 4.9117 and 6.1086 Å and the angles 90.00°, 90.00° and 90.00°. The inequivalent atoms are Ba at (0.0000, 0.0000, 0.0000), La at (0.0000, 0.0000, 0.5000), In at (0.5000, 0.5000, 0.0000) and Ru at (0.0000, 0.5000, 0.5000).


The following is a DFT calculation (PBE) of an optimized crystal structure of BaLaIn2Ru.

Its total moment is 0.00 μB per cell. For the formation energy, the calculation gives -331 meV/atom.

The structure belongs to space group P4/mmm (No. 123); the cell edges are 5.4578, 5.4578 and 5.1677 Å and the angles 90.00°, 90.00° and 90.00°. The inequivalent atoms are Ba at (0.0000, 0.0000, 0.0000), La at (0.5000, 0.5000, 0.0000), In at (0.0000, 0.5000, 0.5000) and Ru at (0.5000, 0.5000, 0.5000).


The following is a DFT calculation (PBE) of an optimized crystal structure of BaLa2InRu.

Its total moment is 0.00 μB per cell. For the formation energy, the calculation gives -257 meV/atom. The excess energy over the best structure of this formula in the dataset comes out at 0.0 meV per atom.

The structure belongs to space group P4/mmm (No. 123); the cell edges are 5.4971, 5.4971 and 5.5643 Å and the angles 90.00°, 90.00° and 90.00°. The inequivalent atoms are Ba at (0.0000, 0.0000, 0.0000), La at (0.0000, 0.5000, 0.5000), In at (0.5000, 0.5000, 0.0000) and Ru at (0.5000, 0.5000, 0.5000).


The following is a DFT calculation (PBE) of an optimized crystal structure of BaLa2InRu.

Its total moment is 0.00 μB per cell. For the formation energy, the calculation gives -148 meV/atom. The excess energy over the best structure of this formula in the dataset comes out at 108.6 meV per atom.

The structure belongs to space group P4/mmm (No. 123); the cell edges are 5.4614, 5.4614 and 5.9202 Å and the angles 90.00°, 90.00° and 90.00°. The inequivalent atoms are Ba at (0.0000, 0.0000, 0.0000), La at (0.0000, 0.5000, 0.5000), In at (0.5000, 0.5000, 0.0000) and Ru at (0.0000, 0.0000, 0.5000).


The following is a DFT calculation (PBE) of an optimized crystal structure of BaLaIn2Se.

Its total moment is 0.00 μB per cell. The calculation puts the energy relative to the elements, uncorrected at -349.4 meV/atom.

The structure belongs to space group P4/mmm (No. 123); the cell edges are 6.1393, 6.1393 and 5.6635 Å and the angles 90.00°, 90.00° and 90.00°. The inequivalent atoms are Ba at (0.0000, 0.0000, 0.0000), La at (0.5000, 0.5000, 0.5000), In at (0.0000, 0.5000, 0.5000) and Se at (0.5000, 0.5000, 0.0000).


The following is a DFT calculation (PBE) of an optimized crystal structure of BaLaIn2Se4.

Its total moment is 0.00 μB per cell. The calculation puts the energy relative to the elements, uncorrected at -1225.8 meV/atom.

The structure belongs to space group P2/m (No. 10); the cell edges are 7.5690, 4.4669 and 8.0160 Å and the angles 90.00°, 109.32° and 90.00°. The inequivalent atoms are Ba at (0.0000, 0.0000, 0.0000), La at (0.0000, 0.5000, 0.5000), In at (0.5000, 0.0000, 0.5000), In at (0.5000, 0.5000, 0.0000), Se at (0.2380, 0.0000, 0.7176) and Se at (0.2551, 0.5000, 0.2803).


The following is a DFT calculation (PBE) of an optimized crystal structure of Ba2LaInSe5.

Its total moment is 0.00 μB per cell. The calculation puts the energy relative to the elements, uncorrected at -1660.9 meV/atom.

The structure belongs to space group Cmc2_1 (No. 36); the cell edges are 4.4062, 19.4785 and 13.4877 Å and the angles 90.00°, 90.00° and 90.00°. The inequivalent atoms are Ba at (0.0000, 0.1159, 0.0000), Ba at (0.0000, 0.1276, 0.6355), La at (0.0000, 0.2102, 0.3373), In at (0.0000, 0.4470, 0.7560), Se at (0.0000, 0.0470, 0.3684), Se at (0.0000, 0.2914, 0.9850), Se at (0.0000, 0.3166, 0.6829), Se at (0.0000, 0.3589, 0.3206) and Se at (0.0000, 0.4958, 0.0851).


The following is a DFT calculation (PBE) of an optimized crystal structure of Ba2LaInSe4.

Its total moment is 0.00 μB per cell. The calculation puts the energy relative to the elements, uncorrected at -1658.3 meV/atom.

The structure belongs to space group P2/m (No. 10); the cell edges are 7.7523, 4.5934 and 8.1081 Å and the angles 90.00°, 108.95° and 90.00°. The inequivalent atoms are Ba at (0.0000, 0.0000, 0.0000), Ba at (0.0000, 0.5000, 0.5000), La at (0.5000, 0.0000, 0.5000), In at (0.5000, 0.5000, 0.0000), Se at (0.2649, 0.0000, 0.7326) and Se at (0.2714, 0.5000, 0.2697).


The following is a DFT calculation (PBE) of an optimized crystal structure of BaLa2SmIn4.

Its total moment is 0.00 μB per cell. For the formation energy, the calculation gives -425 meV/atom.

The structure belongs to space group R-3m (No. 166, hexagonal axes); the cell edges are 5.6390, 5.6390 and 27.7930 Å and the angles 90.00°, 90.00° and 120.00°. The inequivalent atoms are Ba at (0.0000, 0.0000, 0.0000), La at (0.0000, 0.0000, 0.2514), Sm at (0.0000, 0.0000, 0.5000), In at (0.0000, 0.0000, 0.1291) and In at (0.0000, 0.0000, 0.3818).


The following is a DFT calculation (PBE) of an optimized crystal structure of BaLaInSn.

Its total moment is 0.00 μB per cell. For the formation energy, the calculation gives -473 meV/atom.

The structure belongs to space group F-43m (No. 216); the cell edges are 8.1906, 8.1906 and 8.1906 Å and the angles 90.00°, 90.00° and 90.00°. The inequivalent atoms are Ba at (0.0000, 0.0000, 0.0000), La at (0.0000, 0.0000, 0.5000), In at (0.2500, 0.2500, 0.7500) and Sn at (0.2500, 0.2500, 0.2500).


The following is a DFT calculation (PBE) of an optimized crystal structure of BaLaIn2Sn2.

Its total moment is 0.00 μB per cell. For the formation energy, the calculation gives -549 meV/atom.

The structure belongs to space group P-3m1 (No. 164); the cell edges are 4.7876, 4.7876 and 10.0590 Å and the angles 90.00°, 90.00° and 120.00°. The inequivalent atoms are Ba at (0.0000, 0.0000, 0.0000), La at (0.0000, 0.0000, 0.5000), In at (0.3333, 0.6667, 0.7805) and Sn at (0.3333, 0.6667, 0.3195).


The following is a DFT calculation (PBE) of an optimized crystal structure of BaSr2LaIn4.

Its total moment is 0.00 μB per cell. For the formation energy, the calculation gives -424 meV/atom.

The structure belongs to space group R-3m (No. 166, hexagonal axes); the cell edges are 5.7775, 5.7775 and 28.4364 Å and the angles 90.00°, 90.00° and 120.00°. The inequivalent atoms are Ba at (0.0000, 0.0000, 0.0000), Sr at (0.0000, 0.0000, 0.2506), La at (0.0000, 0.0000, 0.5000), In at (0.0000, 0.0000, 0.1275) and In at (0.0000, 0.0000, 0.3815).


What did the ninth record say?
The following is a DFT calculation (PBE) of an optimized crystal structure of BaLa2SmIn4.

Its total moment is 0.00 μB per cell. For the formation energy, the calculation gives -425 meV/atom.

The structure belongs to space group R-3m (No. 166, hexagonal axes); the cell edges are 5.6390, 5.6390 and 27.7930 Å and the angles 90.00°, 90.00° and 120.00°. The inequivalent atoms are Ba at (0.0000, 0.0000, 0.0000), La at (0.0000, 0.0000, 0.2514), Sm at (0.0000, 0.0000, 0.5000), In at (0.0000, 0.0000, 0.1291) and In at (0.0000, 0.0000, 0.3818).